Compound: Zr2SbW
Source: Alexandria
Functional: GGA-PBE
Structure: optimized geometry

Raw formation energy in eV per atom: 0.02

a = 9.1241 Å, b = 9.1241 Å, c = 9.1241 Å
α = 21.13°, β = 21.13°, γ = 21.13°
Closest atoms and distances in Å follow each position.
Element x y z (fractional)
Zr  0.2436  0.2436  0.2436  3 W 2.82, 3 Sb 3.08
Zr  0.7564  0.7564  0.7564  3 W 2.82, 3 Sb 3.08
Sb  0.0000  0.0000  0.0000  6 Zr 3.08, 6 Sb 3.35
W  0.5000  0.5000  0.5000  6 Zr 2.82